1.
First-principles (GGA-PBE) data for a geometry-optimized InPd4Au structure, as listed in the Alexandria database. Values from VASP.

Cell and atoms, written as Quantum ESPRESSO input:
```
&SYSTEM
  ibrav = 0, nat = 6, ntyp = 3
/
ATOMIC_SPECIES
In 114.82 In.upf
Pd 106.42 Pd.upf
Au 196.97 Au.upf
CELL_PARAMETERS angstrom
4.493 -1.999 0.000
4.493 1.999 0.000
-1.803 0.000 5.521
ATOMIC_POSITIONS crystal
In 0.000 0.000 0.000
Pd 0.332 0.332 0.667
Pd 0.334 0.334 0.167
Pd 0.666 0.666 0.833
Pd 0.668 0.668 0.333
Au 0.000 0.000 0.500
```

## Properties
Energy of formation ... -0.310 eV per atom
Symmetry ... C2/m

***

2.
First-principles (GGA-PBE) data for a geometry-optimized Tb2NdY4Sc structure, as listed in the Alexandria database. Values from VASP.

Cell and atoms, written as Quantum ESPRESSO input:
```
&SYSTEM
  ibrav = 0, nat = 8, ntyp = 4
/
ATOMIC_SPECIES
Tb 158.93 Tb.upf
Nd 144.24 Nd.upf
Y 88.91 Y.upf
Sc 44.96 Sc.upf
CELL_PARAMETERS angstrom
6.127 0.000 0.000
0.000 3.557 0.000
-2.063 0.000 11.567
ATOMIC_POSITIONS crystal
Tb 0.000 0.000 0.000
Tb 0.000 0.500 0.500
Nd 0.500 0.000 0.500
Y 0.249 0.500 0.246
Y 0.254 0.000 0.757
Y 0.746 0.000 0.243
Y 0.751 0.500 0.754
Sc 0.500 0.500 0.000
```

## Properties
Energy of formation ... 0.037 eV per atom
Symmetry ... P2/m

***

3.
First-principles (GGA-PBE) data for a geometry-optimized LaPa2Tc structure, as listed in the Alexandria database. Values from VASP.

Cell and atoms, written as Quantum ESPRESSO input:
```
&SYSTEM
  ibrav = 0, nat = 4, ntyp = 3
/
ATOMIC_SPECIES
La 138.91 La.upf
Pa 231.04 Pa.upf
Tc 98.00 Tc.upf
CELL_PARAMETERS angstrom
1.670 0.964 9.943
-1.670 0.964 9.943
0.000 -1.929 9.943
ATOMIC_POSITIONS crystal
La 0.000 0.000 0.000
Pa 0.239 0.239 0.239
Pa 0.761 0.761 0.761
Tc 0.500 0.500 0.500
```

## Properties
Offset from the most stable computed form ... 119 meV per atom
Energy of formation ... 0.170 eV per atom
Symmetry ... R-3m

***

4.
First-principles (GGA-PBE) data for a geometry-optimized AlTcOs2 structure, as listed in the Alexandria database. Values from VASP.

Cell and atoms, written as Quantum ESPRESSO input:
```
&SYSTEM
  ibrav = 0, nat = 4, ntyp = 3
/
ATOMIC_SPECIES
Al 26.98 Al.upf
Tc 98.00 Tc.upf
Os 190.23 Os.upf
CELL_PARAMETERS angstrom
4.405 0.000 0.000
0.000 4.405 0.000
0.000 0.000 2.955
ATOMIC_POSITIONS crystal
Al 0.000 0.000 0.000
Tc 0.500 0.500 0.000
Os 0.000 0.500 0.500
Os 0.500 0.000 0.500
```

## Properties
Energy of formation ... 0.029 eV per atom
Symmetry ... P4/mmm

***

5.
First-principles (GGA-PBE) data for a geometry-optimized ErZrAs2 structure, as listed in the Alexandria database. Values from VASP.

Cell and atoms, written as Quantum ESPRESSO input:
```
&SYSTEM
  ibrav = 0, nat = 4, ntyp = 3
/
ATOMIC_SPECIES
Er 167.26 Er.upf
Zr 91.22 Zr.upf
As 74.92 As.upf
CELL_PARAMETERS angstrom
1.973 1.139 6.546
-1.973 1.139 6.546
0.000 -2.278 6.546
ATOMIC_POSITIONS crystal
Er 0.000 0.000 0.000
Zr 0.500 0.500 0.500
As 0.247 0.247 0.247
As 0.753 0.753 0.753
```

## Properties
Offset from the most stable computed form ... 0 meV per atom
Energy of formation ... -1.311 eV per atom
Symmetry ... R-3m

***

6.
First-principles (GGA-PBE) data for a geometry-optimized CeNdTl6 structure, as listed in the Alexandria database. Values from VASP.

Cell and atoms, written as Quantum ESPRESSO input:
```
&SYSTEM
  ibrav = 0, nat = 8, ntyp = 3
/
ATOMIC_SPECIES
Ce 140.12 Ce.upf
Nd 144.24 Nd.upf
Tl 204.38 Tl.upf
CELL_PARAMETERS angstrom
4.832 0.000 0.000
0.000 4.832 0.000
0.000 0.000 9.663
ATOMIC_POSITIONS crystal
Ce 0.000 0.000 0.000
Nd 0.000 0.000 0.500
Tl 0.000 0.500 0.249
Tl 0.000 0.500 0.751
Tl 0.500 0.000 0.249
Tl 0.500 0.000 0.751
Tl 0.500 0.500 0.000
Tl 0.500 0.500 0.500
```

## Properties
Energy of formation ... -0.281 eV per atom
Symmetry ... P4/mmm

***

7.
First-principles (GGA-PBE) data for a geometry-optimized CdSbRu2 structure, as listed in the Alexandria database. Values from VASP.

Cell and atoms, written as Quantum ESPRESSO input:
```
&SYSTEM
  ibrav = 0, nat = 8, ntyp = 3
/
ATOMIC_SPECIES
Cd 112.41 Cd.upf
Sb 121.76 Sb.upf
Ru 101.07 Ru.upf
CELL_PARAMETERS angstrom
-3.640 3.640 2.890
3.640 -3.640 2.890
3.640 3.640 -2.890
ATOMIC_POSITIONS crystal
Cd 0.000 0.000 0.000
Cd 0.750 0.250 0.500
Sb 0.250 0.750 0.500
Sb 0.500 0.500 0.000
Ru 0.152 0.625 0.027
Ru 0.375 0.402 0.527
Ru 0.598 0.125 0.973
Ru 0.875 0.848 0.473
```

## Properties
ΔE_f (raw) ... 0.627 eV/atom
Symmetry ... I-42d

***

8.
First-principles (GGA-PBE) data for a geometry-optimized TbY3Pt2 structure, as listed in the Alexandria database. Values from VASP.

Cell and atoms, written as Quantum ESPRESSO input:
```
&SYSTEM
  ibrav = 0, nat = 12, ntyp = 3
/
ATOMIC_SPECIES
Tb 158.93 Tb.upf
Y 88.91 Y.upf
Pt 195.08 Pt.upf
CELL_PARAMETERS angstrom
4.795 0.000 0.000
0.000 8.849 0.000
0.000 0.000 7.177
ATOMIC_POSITIONS crystal
Tb 0.000 0.084 0.000
Tb 0.000 0.916 0.500
Y 0.000 0.332 0.634
Y 0.000 0.668 0.134
Y 0.500 0.168 0.347
Y 0.500 0.418 0.981
Y 0.500 0.582 0.481
Y 0.500 0.832 0.847
Pt 0.000 0.343 0.231
Pt 0.000 0.657 0.731
Pt 0.500 0.157 0.750
Pt 0.500 0.843 0.250
```

## Properties
Offset from the most stable computed form ... 0 meV per atom
Energy of formation ... -0.936 eV per atom
Symmetry ... Pmc2_1

***

9.
First-principles (GGA-PBE) data for a geometry-optimized Cs2Co2Cl7 structure, as listed in the Alexandria database. Values from VASP.

Cell and atoms, written as Quantum ESPRESSO input:
```
&SYSTEM
  ibrav = 0, nat = 11, ntyp = 3
/
ATOMIC_SPECIES
Cs 132.91 Cs.upf
Co 58.93 Co.upf
Cl 35.45 Cl.upf
CELL_PARAMETERS angstrom
5.227 -6.493 0.000
5.227 6.493 0.000
-0.886 0.000 6.561
ATOMIC_POSITIONS crystal
Cs 0.210 0.790 0.000
Cs 0.790 0.210 0.000
Co 0.289 0.289 0.553
Co 0.711 0.711 0.447
Cl 0.115 0.396 0.724
Cl 0.171 0.171 0.252
Cl 0.396 0.115 0.724
Cl 0.500 0.500 0.500
Cl 0.604 0.885 0.276
Cl 0.829 0.829 0.748
Cl 0.885 0.604 0.276
```

## Properties
ΔE_f (raw) ... -1.099 eV/atom
Symmetry ... C2/m

***

10.
First-principles (GGA-PBE) data for a geometry-optimized Hf6IrRh structure, as listed in the Alexandria database. Values from VASP.

Cell and atoms, written as Quantum ESPRESSO input:
```
&SYSTEM
  ibrav = 0, nat = 8, ntyp = 3
/
ATOMIC_SPECIES
Hf 178.49 Hf.upf
Ir 192.22 Ir.upf
Rh 102.91 Rh.upf
CELL_PARAMETERS angstrom
3.026 -5.360 0.000
3.026 5.360 0.000
-2.909 0.000 5.312
ATOMIC_POSITIONS crystal
Hf 0.044 0.453 0.751
Hf 0.249 0.249 0.252
Hf 0.453 0.044 0.751
Hf 0.547 0.956 0.249
Hf 0.751 0.751 0.748
Hf 0.956 0.547 0.249
Ir 0.500 0.500 0.000
Rh 0.000 0.000 0.500
```

## Properties
Energy of formation ... -0.054 eV per atom
Symmetry ... C2/m

***

11.
First-principles (GGA-PBE) data for a geometry-optimized CeTmIrRh structure, as listed in the Alexandria database. Values from VASP.

Cell and atoms, written as Quantum ESPRESSO input:
```
&SYSTEM
  ibrav = 0, nat = 4, ntyp = 4
/
ATOMIC_SPECIES
Ce 140.12 Ce.upf
Tm 168.93 Tm.upf
Ir 192.22 Ir.upf
Rh 102.91 Rh.upf
CELL_PARAMETERS angstrom
0.000 3.445 3.445
3.445 0.000 3.445
3.445 3.445 0.000
ATOMIC_POSITIONS crystal
Ce 0.000 0.000 0.000
Tm 0.500 0.500 0.500
Ir 0.750 0.750 0.750
Rh 0.250 0.250 0.250
```

## Properties
Energy of formation ... -0.793 eV per atom
Symmetry ... F-43m

***

12.
First-principles (GGA-PBE) data for a geometry-optimized Ti5Ir4Pd structure, as listed in the Alexandria database. Values from VASP.

Cell and atoms, written as Quantum ESPRESSO input:
```
&SYSTEM
  ibrav = 0, nat = 10, ntyp = 3
/
ATOMIC_SPECIES
Ti 47.87 Ti.upf
Ir 192.22 Ir.upf
Pd 106.42 Pd.upf
CELL_PARAMETERS angstrom
2.917 0.000 0.000
0.000 2.917 0.000
0.000 0.000 17.904
ATOMIC_POSITIONS crystal
Ti 0.000 0.000 0.000
Ti 0.000 0.000 0.197
Ti 0.000 0.000 0.393
Ti 0.000 0.000 0.607
Ti 0.000 0.000 0.803
Ir 0.500 0.500 0.100
Ir 0.500 0.500 0.296
Ir 0.500 0.500 0.704
Ir 0.500 0.500 0.900
Pd 0.500 0.500 0.500
```

## Properties
Energy of formation ... -0.792 eV per atom
Symmetry ... P4/mmm

***

Copy entry 3 word for word.
First-principles (GGA-PBE) data for a geometry-optimized LaPa2Tc structure, as listed in the Alexandria database. Values from VASP.

Cell and atoms, written as Quantum ESPRESSO input:
```
&SYSTEM
  ibrav = 0, nat = 4, ntyp = 3
/
ATOMIC_SPECIES
La 138.91 La.upf
Pa 231.04 Pa.upf
Tc 98.00 Tc.upf
CELL_PARAMETERS angstrom
1.670 0.964 9.943
-1.670 0.964 9.943
0.000 -1.929 9.943
ATOMIC_POSITIONS crystal
La 0.000 0.000 0.000
Pa 0.239 0.239 0.239
Pa 0.761 0.761 0.761
Tc 0.500 0.500 0.500
```

## Properties
Offset from the most stable computed form ... 119 meV per atom
Energy of formation ... 0.170 eV per atom
Symmetry ... R-3m

***

Q: Number 8 is which compound?
A: TbY3Pt2